First-principles (GGA-PBE) data for crystalline YHoSn2 at its relaxed geometry, as listed in OQMD.

Results
total DFT energy (no corrections): -18.7 eV/cell
crystal system: orthorhombic
total magnetization: 0.0 μB/f.u.

Cell: 3.3336 6.8961 6.8961 Å, 53.41 90.00 90.00°
Atoms (fractional coordinates):
Ho1 0.5000 0.6419 0.6419
Sn1 0.5000 0.1143 0.1143
Sn2 0.5000 0.8849 0.8849
Y1 0.5000 0.3589 0.3589

First-principles (GGA-PBE) data for crystalline TcPOsO at its relaxed geometry, as listed in OQMD.

Results
total DFT energy (no corrections): -63.9 eV/cell
crystal system: tetragonal
total magnetization: 0.0 μB/f.u.

Cell: 4.0495 4.0495 5.8767 Å, 90.00 90.00 90.00°
Atoms (fractional coordinates):
O1 0.5000 0.0000 0.0000
O2 0.0000 0.5000 0.0000
Os1 0.0000 0.0000 0.1524
Os2 0.5000 0.5000 0.8476
P1 0.5000 0.5000 0.2860
P2 0.0000 0.0000 0.7140
Tc1 0.5000 0.0000 0.5000
Tc2 0.0000 0.5000 0.5000

First-principles (GGA-PBE) data for crystalline KTmMgSe3 at its relaxed geometry, as listed in OQMD.

Results
total DFT energy (no corrections): -53.7 eV/cell
crystal system: monoclinic
total magnetization: 0.0 μB/f.u.

Cell: 8.9557 4.2111 10.0716 Å, 90.00 107.91 90.00°
Atoms (fractional coordinates):
K1 0.7856 0.7500 0.2660
K2 0.2144 0.2500 0.7340
Mg1 0.0861 0.2500 0.1110
Mg2 0.9139 0.7500 0.8890
Se1 0.2125 0.7500 0.0444
Se2 0.5345 0.2500 0.3440
Se3 0.1112 0.2500 0.3670
Se4 0.8888 0.7500 0.6330
Se5 0.4655 0.7500 0.6560
Se6 0.7875 0.2500 0.9556
Tm1 0.3302 0.7500 0.3681
Tm2 0.6698 0.2500 0.6319

First-principles (GGA-PBE) data for crystalline La2Re at its relaxed geometry, as listed in OQMD.

Results
total DFT energy (no corrections): -35.8 eV/cell
crystal system: cubic
total magnetization: 0.2 μB/f.u.
formation enthalpy at 0 K: 1.448 eV per atom

Cell: 6.0213 6.0213 6.0213 Å, 60.00 60.00 60.00°
Each line ends with the local moment (μB).
Atoms (fractional coordinates):
La1 0.6250 0.6250 0.1250  -0.04
La2 0.6250 0.1250 0.6250  -0.04
La3 0.1250 0.6250 0.6250  -0.02
La4 0.6250 0.6250 0.6250  -0.03
Re1 0.0000 0.0000 0.0000  0.31
Re2 0.2500 0.2500 0.2500  0.31

First-principles (GGA-PBE) data for crystalline LuNiBi at its relaxed geometry, as listed in OQMD.

Results
total DFT energy (no corrections): -46.8 eV/cell
crystal system: hexagonal
total magnetization: 0.0 μB/f.u.

Cell: 7.3242 7.3242 4.0619 Å, 90.00 90.00 120.00°
Atoms (fractional coordinates):
Bi1 0.2753 0.0000 0.0000
Bi2 0.0000 0.2753 0.0000
Bi3 0.7247 0.7247 0.0000
Lu1 0.6083 0.0000 0.5000
Lu2 0.3917 0.3917 0.5000
Lu3 0.0000 0.6083 0.5000
Ni1 0.6667 0.3333 0.0000
Ni2 0.3333 0.6667 0.0000
Ni3 0.0000 0.0000 0.5000

First-principles (GGA-PBE) data for crystalline BaWN2 at its relaxed geometry, as listed in OQMD.

Results
total DFT energy (no corrections): -66.5 eV/cell
crystal system: tetragonal
total magnetization: 0.0 μB/f.u.

Cell: 4.0404 4.0404 8.1747 Å, 90.00 90.00 90.00°
Atoms (fractional coordinates):
Ba1 0.0000 0.5000 0.1578
Ba2 0.5000 0.0000 0.8422
N1 0.5000 0.0000 0.1957
N2 0.0000 0.0000 0.5000
N3 0.5000 0.5000 0.5000
N4 0.0000 0.5000 0.8043
W1 0.5000 0.0000 0.4202
W2 0.0000 0.5000 0.5798

First-principles (GGA-PBE) data for crystalline DyThAu at its relaxed geometry, as listed in OQMD.

Results
total DFT energy (no corrections): -16.0 eV/cell
crystal system: cubic
total magnetization: 0.0 μB/f.u.
formation enthalpy at 0 K: -0.238 eV per atom

Cell: 5.0464 5.0464 5.0464 Å, 60.00 60.00 60.00°
Atoms (fractional coordinates):
Au1 0.0000 0.0000 0.0000
Dy1 0.2500 0.2500 0.2500
Th1 0.7500 0.7500 0.7500

First-principles (GGA-PBE) data for crystalline Hf2NiSn at its relaxed geometry, as listed in OQMD.

Results
total DFT energy (no corrections): -28.9 eV/cell
crystal system: cubic
total magnetization: 1.8 μB/f.u.

Cell: 4.7713 4.7713 4.7713 Å, 60.00 60.00 60.00°
Each line ends with the local moment (μB).
Atoms (fractional coordinates):
Hf1 0.0000 0.0000 0.0000  0.56
Hf2 0.7500 0.7500 0.7500  0.70
Ni1 0.2500 0.2500 0.2500  0.17
Sn1 0.5000 0.5000 0.5000  0.01

First-principles (GGA-PBE) data for crystalline BaSmTeAuSe2 at its relaxed geometry, as listed in OQMD.

Results
total DFT energy (no corrections): -56.9 eV/cell
crystal system: orthorhombic
total magnetization: 0.0 μB/f.u.

Cell: 7.8688 7.8688 11.1580 Å, 90.00 90.00 148.57°
Atoms (fractional coordinates):
Au1 0.5261 0.4739 0.2500
Au2 0.4739 0.5261 0.7500
Ba1 0.2240 0.7760 0.2500
Ba2 0.7760 0.2240 0.7500
Se1 0.6302 0.3698 0.0590
Se2 0.6302 0.3698 0.4410
Se3 0.3698 0.6302 0.5590
Se4 0.3698 0.6302 0.9410
Sm1 0.0000 0.0000 0.0000
Sm2 0.0000 0.0000 0.5000
Te1 0.9058 0.0942 0.2500
Te2 0.0942 0.9058 0.7500

First-principles (GGA-PBE) data for crystalline ScCuGeTe3 at its relaxed geometry, as listed in OQMD.

Results
total DFT energy (no corrections): -53.9 eV/cell
crystal system: orthorhombic
total magnetization: 0.0 μB/f.u.

Cell: 7.3209 7.3209 10.6191 Å, 90.00 90.00 32.06°
Atoms (fractional coordinates):
Cu1 0.5264 0.5264 0.2500
Cu2 0.4736 0.4736 0.7500
Ge1 0.2206 0.2206 0.2500
Ge2 0.7794 0.7794 0.7500
Sc1 0.0000 0.0000 0.0000
Sc2 0.0000 0.0000 0.5000
Te1 0.6461 0.6461 0.0611
Te2 0.9065 0.9065 0.2500
Te3 0.6461 0.6461 0.4389
Te4 0.3539 0.3539 0.5611
Te5 0.0935 0.0935 0.7500
Te6 0.3539 0.3539 0.9389

First-principles (GGA-PBE) data for crystalline La2PrP3 at its relaxed geometry, as listed in OQMD.

Results
total DFT energy (no corrections): -40.2 eV/cell
crystal system: trigonal
total magnetization: 0.0 μB/f.u.

Cell: 4.2506 4.2506 10.4053 Å, 90.00 90.00 120.00°
Atoms (fractional coordinates):
La1 0.6667 0.3333 0.1681
La2 0.3333 0.6667 0.8319
P1 0.0000 0.0000 0.0000
P2 0.3333 0.6667 0.3350
P3 0.6667 0.3333 0.6650
Pr1 0.0000 0.0000 0.5000

First-principles (GGA-PBE) data for crystalline HoAu2S2 at its relaxed geometry, as listed in OQMD.

Results
total DFT energy (no corrections): -22.9 eV/cell
crystal system: trigonal
total magnetization: 0.0 μB/f.u.

Cell: 3.9122 3.9122 8.1588 Å, 90.00 90.00 120.00°
Atoms (fractional coordinates):
Au1 0.3333 0.6667 0.3978
Au2 0.6667 0.3333 0.6022
Ho1 0.0000 0.0000 0.0000
S1 0.6667 0.3333 0.1838
S2 0.3333 0.6667 0.8162